# U2InTc PBE relaxed
data_U2InTc
_cell_length_a 3.717
_cell_length_b 3.717
_cell_length_c 6.353
_cell_angle_alpha 90.00
_cell_angle_beta 90.00
_cell_angle_gamma 90.00
_symmetry_space_group_name_H-M 'P 4/m m m'
_symmetry_Int_Tables_number 123
_symmetry_space_group_name_Hall '-P 4 2'
loop_
_atom_site_label
_atom_site_type_symbol
_atom_site_fract_x
_atom_site_fract_y
_atom_site_fract_z
_atom_site_occupancy
U1 U 0.000 0.000 0.194 1
In1 In 0.500 0.500 0.500 1
Tc1 Tc 0.500 0.500 0.000 1
# * polymorph energy (0 for the lowest one): 0.0 kJ/mol of atoms